Compound: LaPt2
Source: the Alexandria database
Functional: PBE
Structure: optimized geometry

Cell lengths 4.114, 14.147, 4.346 Å; angles 90.00, 90.00, 90.00 degrees
Space group Cmcm (No. 63)
Asymmetric unit:
La 0.000 0.101 0.250
Pt 0.000 0.246 0.750
Pt 0.000 0.417 0.250

## Properties
M_tot ... 0.00 μB per cell
Formation energy from the elements ... -0.886 eV per atom
N(E_F) ... 5.6 states/eV/cell

Compound: LaPt2
Source: the Alexandria database
Functional: PBE
Structure: optimized geometry

Cell lengths 4.261, 4.261, 27.338 Å; angles 90.00, 90.00, 90.00 degrees
Space group I4_1/amd (No. 141, origin choice 2)
Asymmetric unit:
La 0.000 0.250 0.299
Pt 0.000 0.250 0.125
Pt 0.000 0.250 0.796

## Properties
M_tot ... 0.00 μB per cell
Formation energy from the elements ... -0.932 eV per atom
N(E_F) ... 5.5 states/eV/cell